{
  "formula": "CaTh4As5",
  "functional": "GGA-PBE",
  "state": "optimized geometry",
  "delta_e_f_ev_per_atom": -1.382,
  "e_tot_ev_per_cell": -68.7,
  "dos_at_fermi_per_ev_cell": 5.17,
  "sg": "No. 12",
  "cell": [[7.055, -2.127, 0.000], [7.055, 2.127, 0.000], [-5.135, 0.000, 9.075]],
  "species": ["Ca", "Th", "Th", "Th", "Th", "As", "As", "As", "As", "As"],
  "fractional_positions": [[0.000, 0.000, 0.000], [0.201, 0.201, 0.800], [0.402, 0.402, 0.601], [0.598, 0.598, 0.399], [0.799, 0.799, 0.200], [0.000, 0.000, 0.500], [0.199, 0.199, 0.300], [0.398, 0.398, 0.100], [0.602, 0.602, 0.900], [0.801, 0.801, 0.700]]
}


{
  "formula": "CaThAs2",
  "functional": "GGA-PBE",
  "state": "optimized geometry",
  "delta_e_f_ev_per_atom": -1.355,
  "e_tot_ev_per_cell": -24.1,
  "sg": "No. 166",
  "cell": [[2.151, 1.242, 6.907], [-2.151, 1.242, 6.907], [0.000, -2.483, 6.907]],
  "species": ["Ca", "Th", "As", "As"],
  "fractional_positions": [[0.000, 0.000, 0.000], [0.500, 0.500, 0.500], [0.247, 0.247, 0.247], [0.753, 0.753, 0.753]]
}


{
  "formula": "Ca5ThAs4",
  "functional": "GGA-PBE",
  "state": "optimized geometry",
  "delta_e_f_ev_per_atom": -1.061,
  "e_tot_ev_per_cell": -46.6,
  "dos_at_fermi_per_ev_cell": 4.00,
  "sg": "No. 12",
  "cell": [[9.152, -2.156, 0.000], [9.152, 2.156, 0.000], [-1.903, 0.000, 8.199]],
  "species": ["Ca", "Ca", "Ca", "Ca", "Ca", "Th", "As", "As", "As", "As"],
  "fractional_positions": [[0.000, 0.000, 0.000], [0.331, 0.331, 0.643], [0.336, 0.336, 0.181], [0.664, 0.664, 0.819], [0.669, 0.669, 0.357], [0.000, 0.000, 0.500], [0.167, 0.167, 0.591], [0.498, 0.498, 0.752], [0.502, 0.502, 0.248], [0.833, 0.833, 0.409]]
}


{
  "formula": "CaThAs2",
  "functional": "GGA-PBE",
  "state": "optimized geometry",
  "delta_e_f_ev_per_atom": -1.253,
  "e_tot_ev_per_cell": -23.7,
  "sg": "No. 160",
  "cell": [[2.131, 1.230, 7.189], [-2.131, 1.230, 7.189], [0.000, -2.461, 7.189]],
  "species": ["Ca", "Th", "As", "As"],
  "fractional_positions": [[0.000, 0.000, 0.000], [0.172, 0.172, 0.172], [0.583, 0.583, 0.583], [0.758, 0.758, 0.758]]
}


{
  "formula": "CaTh5As6",
  "functional": "GGA-PBE",
  "state": "optimized geometry",
  "delta_e_f_ev_per_atom": -1.384,
  "e_tot_ev_per_cell": -83.6,
  "dos_at_fermi_per_ev_cell": 6.80,
  "sg": "No. 12",
  "cell": [[3.686, -6.374, 0.000], [3.686, 6.374, 0.000], [-2.454, 0.000, 6.947]],
  "species": ["Ca", "Th", "Th", "Th", "Th", "Th", "As", "As", "As", "As", "As", "As"],
  "fractional_positions": [[0.000, 0.000, 0.000], [0.165, 0.835, 0.500], [0.334, 0.666, 0.000], [0.500, 0.500, 0.500], [0.666, 0.334, 0.000], [0.835, 0.165, 0.500], [0.083, 0.417, 0.251], [0.250, 0.250, 0.752], [0.417, 0.083, 0.251], [0.583, 0.917, 0.749], [0.750, 0.750, 0.248], [0.917, 0.583, 0.749]]
}


{
  "formula": "CaTm2ThAs4",
  "functional": "GGA-PBE",
  "state": "optimized geometry",
  "delta_e_f_ev_per_atom": -1.410,
  "e_tot_ev_per_cell": -48.2,
  "dos_at_fermi_per_ev_cell": 0.99,
  "sg": "No. 10",
  "cell": [[7.179, 0.000, 0.000], [0.000, 4.176, 0.000], [-2.374, 0.000, 6.812]],
  "species": ["Ca", "Tm", "Tm", "Th", "As", "As", "As", "As"],
  "fractional_positions": [[0.000, 0.000, 0.000], [0.000, 0.500, 0.500], [0.500, 0.000, 0.500], [0.500, 0.500, 0.000], [0.247, 0.000, 0.740], [0.257, 0.500, 0.261], [0.743, 0.500, 0.739], [0.753, 0.000, 0.260]]
}


{
  "formula": "CaTmTh2As4",
  "functional": "GGA-PBE",
  "state": "optimized geometry",
  "delta_e_f_ev_per_atom": -1.401,
  "e_tot_ev_per_cell": -51.1,
  "dos_at_fermi_per_ev_cell": 1.71,
  "sg": "No. 10",
  "cell": [[7.214, 0.000, 0.000], [0.000, 4.226, 0.000], [-2.468, 0.000, 6.902]],
  "species": ["Ca", "Tm", "Th", "Th", "As", "As", "As", "As"],
  "fractional_positions": [[0.000, 0.000, 0.000], [0.000, 0.500, 0.500], [0.500, 0.000, 0.500], [0.500, 0.500, 0.000], [0.243, 0.000, 0.744], [0.249, 0.500, 0.254], [0.751, 0.500, 0.746], [0.757, 0.000, 0.256]]
}


{
  "formula": "Ca2ThUAs4",
  "functional": "GGA-PBE",
  "state": "optimized geometry",
  "delta_e_f_ev_per_atom": -1.150,
  "e_tot_ev_per_cell": -50.5,
  "dos_at_fermi_per_ev_cell": 6.92,
  "sg": "No. 10",
  "cell": [[7.293, 0.000, 0.000], [0.000, 4.236, 0.000], [-2.456, 0.000, 6.912]],
  "species": ["Ca", "Ca", "Th", "U", "As", "As", "As", "As"],
  "fractional_positions": [[0.000, 0.000, 0.000], [0.000, 0.500, 0.500], [0.500, 0.000, 0.500], [0.500, 0.500, 0.000], [0.262, 0.500, 0.245], [0.266, 0.000, 0.763], [0.734, 0.000, 0.237], [0.738, 0.500, 0.755]]
}


{
  "formula": "CaY3Th2As6",
  "functional": "GGA-PBE",
  "state": "optimized geometry",
  "delta_e_f_ev_per_atom": -1.467,
  "e_tot_ev_per_cell": -81.7,
  "dos_at_fermi_per_ev_cell": 1.69,
  "sg": "No. 12",
  "cell": [[9.122, -2.100, 0.000], [9.122, 2.100, 0.000], [-1.928, 0.000, 8.162]],
  "species": ["Ca", "Y", "Y", "Y", "Th", "Th", "As", "As", "As", "As", "As", "As"],
  "fractional_positions": [[0.000, 0.000, 0.000], [0.000, 0.000, 0.500], [0.335, 0.335, 0.166], [0.665, 0.665, 0.834], [0.336, 0.336, 0.672], [0.664, 0.664, 0.328], [0.166, 0.166, 0.586], [0.169, 0.169, 0.080], [0.499, 0.499, 0.256], [0.501, 0.501, 0.744], [0.831, 0.831, 0.920], [0.834, 0.834, 0.414]]
}


{
  "formula": "Ca2YThAs4",
  "functional": "GGA-PBE",
  "state": "optimized geometry",
  "delta_e_f_ev_per_atom": -1.277,
  "e_tot_ev_per_cell": -46.7,
  "dos_at_fermi_per_ev_cell": 6.67,
  "sg": "No. 10",
  "cell": [[7.320, 0.000, 0.000], [0.000, 4.257, 0.000], [-2.460, 0.000, 6.901]],
  "species": ["Ca", "Ca", "Y", "Th", "As", "As", "As", "As"],
  "fractional_positions": [[0.000, 0.000, 0.000], [0.500, 0.500, 0.000], [0.000, 0.500, 0.500], [0.500, 0.000, 0.500], [0.244, 0.000, 0.739], [0.250, 0.500, 0.258], [0.750, 0.500, 0.742], [0.756, 0.000, 0.261]]
}


{
  "formula": "CaY2ThAs4",
  "functional": "GGA-PBE",
  "state": "optimized geometry",
  "delta_e_f_ev_per_atom": -1.439,
  "e_tot_ev_per_cell": -52.5,
  "dos_at_fermi_per_ev_cell": 0.97,
  "sg": "No. 10",
  "cell": [[7.233, 0.000, 0.000], [0.000, 4.208, 0.000], [-2.393, 0.000, 6.864]],
  "species": ["Ca", "Y", "Y", "Th", "As", "As", "As", "As"],
  "fractional_positions": [[0.000, 0.000, 0.000], [0.000, 0.500, 0.500], [0.500, 0.000, 0.500], [0.500, 0.500, 0.000], [0.249, 0.000, 0.744], [0.256, 0.500, 0.257], [0.744, 0.500, 0.743], [0.751, 0.000, 0.256]]
}


{
  "formula": "CaTiAs2",
  "functional": "GGA-PBE",
  "state": "optimized geometry",
  "delta_e_f_ev_per_atom": -0.941,
  "e_tot_ev_per_cell": -23.0,
  "dos_at_fermi_per_ev_cell": 1.14,
  "sg": "No. 160",
  "cell": [[1.909, 1.102, 6.860], [-1.909, 1.102, 6.860], [0.000, -2.204, 6.860]],
  "species": ["Ca", "Ti", "As", "As"],
  "fractional_positions": [[0.000, 0.000, 0.000], [0.171, 0.171, 0.171], [0.572, 0.572, 0.572], [0.766, 0.766, 0.766]]
}


{
  "formula": "Ca3TiAs",
  "functional": "GGA-PBE",
  "state": "optimized geometry",
  "delta_e_f_ev_per_atom": 0.734,
  "e_tot_ev_per_cell": -14.9,
  "dos_at_fermi_per_ev_cell": 4.20,
  "sg": "No. 221",
  "cell": [[5.616, 0.000, 0.000], [0.000, 5.616, 0.000], [0.000, 0.000, 5.616]],
  "species": ["Ca", "Ca", "Ca", "Ti", "As"],
  "fractional_positions": [[0.000, 0.000, 0.500], [0.000, 0.500, 0.000], [0.500, 0.000, 0.000], [0.000, 0.000, 0.000], [0.500, 0.500, 0.500]]
}


{
  "formula": "CaTi2As2",
  "functional": "GGA-PBE",
  "state": "optimized geometry",
  "delta_e_f_ev_per_atom": -0.498,
  "e_tot_ev_per_cell": -29.6,
  "dos_at_fermi_per_ev_cell": 1.17,
  "sg": "No. 139",
  "cell": [[-2.461, 2.461, 4.420], [2.461, -2.461, 4.420], [2.461, 2.461, -4.420]],
  "species": ["Ca", "Ti", "Ti", "As", "As"],
  "fractional_positions": [[0.000, 0.000, 0.000], [0.346, 0.346, 0.000], [0.654, 0.654, 0.000], [0.250, 0.750, 0.500], [0.750, 0.250, 0.500]]
}


{
  "formula": "Ca3TiAs",
  "functional": "GGA-PBE",
  "state": "optimized geometry",
  "delta_e_f_ev_per_atom": 0.151,
  "e_tot_ev_per_cell": -17.8,
  "dos_at_fermi_per_ev_cell": 22.03,
  "sg": "No. 221",
  "cell": [[5.608, 0.000, 0.000], [0.000, 5.608, 0.000], [0.000, 0.000, 5.608]],
  "species": ["Ca", "Ca", "Ca", "Ti", "As"],
  "fractional_positions": [[0.000, 0.000, 0.500], [0.000, 0.500, 0.000], [0.500, 0.000, 0.000], [0.500, 0.500, 0.500], [0.000, 0.000, 0.000]]
}


{
  "formula": "CaTi3As",
  "functional": "GGA-PBE",
  "state": "optimized geometry",
  "delta_e_f_ev_per_atom": 0.101,
  "e_tot_ev_per_cell": -29.8,
  "dos_at_fermi_per_ev_cell": 5.39,
  "sg": "No. 221",
  "cell": [[4.854, 0.000, 0.000], [0.000, 4.854, 0.000], [0.000, 0.000, 4.854]],
  "species": ["Ca", "Ti", "Ti", "Ti", "As"],
  "fractional_positions": [[0.000, 0.000, 0.000], [0.000, 0.500, 0.500], [0.500, 0.000, 0.500], [0.500, 0.500, 0.000], [0.500, 0.500, 0.500]]
}


{
  "formula": "CaTi2As",
  "functional": "GGA-PBE",
  "state": "optimized geometry",
  "delta_e_f_ev_per_atom": -0.024,
  "e_tot_ev_per_cell": -45.1,
  "dos_at_fermi_per_ev_cell": 5.84,
  "sg": "No. 122",
  "cell": [[-2.221, 2.221, 9.593], [2.221, -2.221, 9.593], [2.221, 2.221, -9.593]],
  "species": ["Ca", "Ca", "Ti", "Ti", "Ti", "Ti", "As", "As"],
  "fractional_positions": [[0.000, 0.000, 0.000], [0.750, 0.250, 0.500], [0.357, 0.125, 0.732], [0.375, 0.643, 0.768], [0.393, 0.625, 0.268], [0.875, 0.607, 0.232], [0.250, 0.750, 0.500], [0.500, 0.500, 0.000]]
}


{
  "formula": "CaTi2As2",
  "functional": "GGA-PBE",
  "state": "optimized geometry",
  "delta_e_f_ev_per_atom": -0.675,
  "e_tot_ev_per_cell": -60.9,
  "dos_at_fermi_per_ev_cell": 5.73,
  "sg": "No. 127",
  "cell": [[7.420, 0.000, 0.000], [0.000, 7.420, 0.000], [0.000, 0.000, 3.443]],
  "species": ["Ca", "Ca", "Ti", "Ti", "Ti", "Ti", "As", "As", "As", "As"],
  "fractional_positions": [[0.000, 0.000, 0.000], [0.500, 0.500, 0.000], [0.137, 0.363, 0.500], [0.363, 0.863, 0.500], [0.637, 0.137, 0.500], [0.863, 0.637, 0.500], [0.145, 0.645, 0.000], [0.355, 0.145, 0.000], [0.645, 0.855, 0.000], [0.855, 0.355, 0.000]]
}


{
  "formula": "CaTiAs2",
  "functional": "GGA-PBE",
  "state": "optimized geometry",
  "delta_e_f_ev_per_atom": -0.530,
  "e_tot_ev_per_cell": -21.3,
  "dos_at_fermi_per_ev_cell": 6.42,
  "sg": "No. 225",
  "cell": [[0.000, 3.415, 3.415], [3.415, 0.000, 3.415], [3.415, 3.415, 0.000]],
  "species": ["Ca", "Ti", "As", "As"],
  "fractional_positions": [[0.000, 0.000, 0.000], [0.500, 0.500, 0.500], [0.250, 0.250, 0.250], [0.750, 0.750, 0.750]]
}


{
  "formula": "CaTiAs2",
  "functional": "GGA-PBE",
  "state": "optimized geometry",
  "delta_e_f_ev_per_atom": -0.994,
  "e_tot_ev_per_cell": -23.2,
  "dos_at_fermi_per_ev_cell": 0.85,
  "sg": "No. 166",
  "cell": [[1.914, 1.105, 6.734], [-1.914, 1.105, 6.734], [0.000, -2.210, 6.734]],
  "species": ["Ca", "Ti", "As", "As"],
  "fractional_positions": [[0.000, 0.000, 0.000], [0.500, 0.500, 0.500], [0.238, 0.238, 0.238], [0.762, 0.762, 0.762]]
}


{
  "formula": "CaTi3As",
  "functional": "GGA-PBE",
  "state": "optimized geometry",
  "delta_e_f_ev_per_atom": 1.642,
  "e_tot_ev_per_cell": -22.1,
  "dos_at_fermi_per_ev_cell": 5.73,
  "sg": "No. 221",
  "cell": [[4.666, 0.000, 0.000], [0.000, 4.666, 0.000], [0.000, 0.000, 4.666]],
  "species": ["Ca", "Ti", "Ti", "Ti", "As"],
  "fractional_positions": [[0.000, 0.000, 0.000], [0.000, 0.000, 0.500], [0.000, 0.500, 0.000], [0.500, 0.000, 0.000], [0.500, 0.500, 0.500]]
}


{
  "formula": "CaTi2As2",
  "functional": "GGA-PBE",
  "state": "optimized geometry",
  "delta_e_f_ev_per_atom": -0.862,
  "e_tot_ev_per_cell": -31.4,
  "dos_at_fermi_per_ev_cell": 4.71,
  "sg": "No. 139",
  "cell": [[-2.027, 2.027, 6.183], [2.027, -2.027, 6.183], [2.027, 2.027, -6.183]],
  "species": ["Ca", "Ti", "Ti", "As", "As"],
  "fractional_positions": [[0.000, 0.000, 0.000], [0.250, 0.750, 0.500], [0.750, 0.250, 0.500], [0.379, 0.379, 0.000], [0.621, 0.621, 0.000]]
}


{
  "formula": "Ca5TiAs4",
  "functional": "GGA-PBE",
  "state": "optimized geometry",
  "delta_e_f_ev_per_atom": -0.848,
  "e_tot_ev_per_cell": -45.0,
  "dos_at_fermi_per_ev_cell": 5.51,
  "sg": "No. 12",
  "cell": [[8.871, -2.066, 0.000], [8.871, 2.066, 0.000], [-1.906, 0.000, 7.757]],
  "species": ["Ca", "Ca", "Ca", "Ca", "Ca", "Ti", "As", "As", "As", "As"],
  "fractional_positions": [[0.000, 0.000, 0.000], [0.328, 0.328, 0.652], [0.339, 0.339, 0.170], [0.661, 0.661, 0.830], [0.672, 0.672, 0.348], [0.000, 0.000, 0.500], [0.156, 0.156, 0.586], [0.496, 0.496, 0.728], [0.504, 0.504, 0.272], [0.844, 0.844, 0.414]]
}


{
  "formula": "CaTiAs2",
  "functional": "GGA-PBE",
  "state": "optimized geometry",
  "delta_e_f_ev_per_atom": -0.697,
  "e_tot_ev_per_cell": -44.0,
  "dos_at_fermi_per_ev_cell": 0.00,
  "sg": "No. 122",
  "cell": [[-3.524, 3.524, 4.134], [3.524, -3.524, 4.134], [3.524, 3.524, -4.134]],
  "species": ["Ca", "Ca", "Ti", "Ti", "As", "As", "As", "As"],
  "fractional_positions": [[0.000, 0.000, 0.000], [0.750, 0.250, 0.500], [0.250, 0.750, 0.500], [0.500, 0.500, 0.000], [0.177, 0.625, 0.052], [0.375, 0.427, 0.552], [0.573, 0.125, 0.948], [0.875, 0.823, 0.448]]
}


{
  "formula": "Ca3U3TiAs8",
  "functional": "GGA-PBE",
  "state": "optimized geometry",
  "delta_e_f_ev_per_atom": -0.801,
  "e_tot_ev_per_cell": -97.0,
  "dos_at_fermi_per_ev_cell": 17.48,
  "sg": "No. 166",
  "cell": [[4.056, 2.342, 6.885], [-4.056, 2.342, 6.885], [0.000, -4.684, 6.885]],
  "species": ["Ca", "Ca", "Ca", "U", "U", "U", "Ti", "As", "As", "As", "As", "As", "As", "As", "As"],
  "fractional_positions": [[0.000, 0.500, 0.500], [0.500, 0.000, 0.500], [0.500, 0.500, 0.000], [0.000, 0.000, 0.500], [0.000, 0.500, 0.000], [0.500, 0.000, 0.000], [0.500, 0.500, 0.500], [0.245, 0.245, 0.245], [0.252, 0.732, 0.732], [0.268, 0.268, 0.748], [0.268, 0.748, 0.268], [0.732, 0.252, 0.732], [0.732, 0.732, 0.252], [0.748, 0.268, 0.268], [0.755, 0.755, 0.755]]
}